Entry 1:
The following is a DFT calculation (GGA+U) of a relaxed structure of LiMnO2.

Values from the calculation:
- total magnetic moment (μB/cell) = 3.6
- calculated volume (Å³/cell) = 51
- SG = R-3m
- raw total energy (eV per atom) = -5.736

Unit cell a=6.1522 b=6.1522 c=6.1522 alpha=29.93 beta=29.93 gamma=29.93
Sites, in units of the cell vectors:
1 Mn 0.0000 0.0000 0.0000
2 Li 0.5000 0.5000 0.5000
3 O 0.0998 0.0998 0.0998
4 O 0.9002 0.9002 0.9002

Entry 2:
The following is a DFT calculation (GGA+U) of a relaxed structure of Li2Mn3O6.

Values from the calculation:
- total magnetic moment (μB/cell) = 22.0
- calculated volume (Å³/cell) = 233
- SG = Cc
- raw total energy (eV per atom) = -6.744

Unit cell a=5.2030 b=5.2030 c=10.6083 alpha=74.52 beta=74.52 gamma=58.52
Sites, in units of the cell vectors:
1 Mn 0.4369 0.7356 0.0033
2 O 0.6908 0.0631 0.5985
3 Li 0.3404 0.3353 0.2409
4 Mn 0.7356 0.4369 0.5033
5 O 0.1082 0.1463 0.4043
6 O 0.7269 0.8122 0.3923
7 O 0.4001 0.7288 0.6100
8 O 0.1463 0.1082 0.9043
9 O 0.0631 0.6908 0.0985
10 Li 0.6454 0.6874 0.2408
11 O 0.4671 0.4125 0.8898
12 O 0.0644 0.4098 0.6085
13 Mn 0.7723 0.0693 0.9920
14 Li 0.6874 0.6454 0.7408
15 O 0.7288 0.4001 0.1100
16 Mn 0.1001 0.4003 0.0027
17 O 0.4098 0.0644 0.1085
18 Mn 0.0693 0.7723 0.4920
19 Mn 0.4003 0.1001 0.5027
20 Li 0.3353 0.3404 0.7409
21 O 0.4125 0.4671 0.3898
22 O 0.8122 0.7269 0.8923

Entry 3:
The following is a DFT calculation (GGA+U) of a relaxed structure of Li3Mn2O5.

Values from the calculation:
- total magnetic moment (μB/cell) = 14.0
- calculated volume (Å³/cell) = 182
- SG = C2/m
- raw total energy (eV per atom) = -6.339

Unit cell a=5.2080 b=7.6506 c=5.2500 alpha=69.93 beta=67.63 gamma=82.50
Sites, in units of the cell vectors:
1 Mn 0.0000 0.9984 0.0008
2 O 0.2356 0.8000 0.8808
3 Mn 0.0000 0.4034 0.7982
4 O 0.2127 0.0092 0.2353
5 Li 0.5000 0.9939 0.5031
6 O 0.2344 0.4052 0.0722
7 Mn 0.0000 0.1966 0.4017
8 O 0.7872 0.5908 0.9647
9 Li 0.5000 0.8000 0.1000
10 Li 0.5000 0.1946 0.9027
11 Li 0.5001 0.4052 0.2973
12 Li 0.0000 0.8000 0.6000
13 O 0.7656 0.4052 0.5227
14 O 0.2344 0.1948 0.6774
15 Li 0.5000 0.6061 0.6969
16 O 0.7872 0.0093 0.7555
17 O 0.7656 0.1949 0.1278
18 O 0.7644 0.8000 0.3192
19 Mn 0.0000 0.6016 0.1992
20 O 0.2128 0.5908 0.4445